Entry 1:
## Cr2HgS2 (GGA-PBEsol)

Data for a relaxed structure of Cr2HgS2.

## Properties
E = -59.12 eV for the cell shown
Crystal system = tetragonal

abc: 4.5101 4.5101 7.6577
angles: 90.00 90.00 90.00
Closest atoms and distances in Å follow each position.
Space group I4/mmm (No. 139)
Unique sites:
Cr1 0.0000 0.0000 0.1228 (multiplicity 4)  1 Cr 1.88
Hg1 0.0000 0.0000 0.5000 (multiplicity 2)  2 Cr 2.89, 8 S 2.96
S1 0.0000 0.5000 0.2500 (multiplicity 4)  4 Cr 2.46


Entry 2:
## SrNi4Sn2 (GGA-PBEsol)

Data for a relaxed structure of SrNi4Sn2.

## Properties
E = -149.56 eV for the cell shown
Crystal system = tetragonal

abc: 7.7720 7.7720 7.6892
angles: 90.00 90.00 90.00
Closest atoms and distances in Å follow each position.
Space group I4/mcm (No. 140)
Unique sites:
Sr1 0.0000 0.0000 0.2500 (multiplicity 4)  8 Ni 3.10
Ni1 0.1358 0.3642 0.1622 (multiplicity 16)  3 Ni 2.49-2.51, 4 Sn 2.57-2.62
Sn1 0.1602 0.3398 0.5000 (multiplicity 8)  8 Ni 2.57-2.62


Entry 3:
## In2SiAu (GGA-PBEsol)

Data for a relaxed structure of In2SiAu.

## Properties
E = -45.49 eV for the cell shown
Crystal system = trigonal

abc: 3.5150 3.5150 23.3188
angles: 90.00 90.00 120.00
Closest atoms and distances in Å follow each position.
Space group R-3m (No. 166, hexagonal axes)
Unique sites:
In1 0.0000 0.0000 0.2499 (multiplicity 6)  3 Au 2.81, 3 Si 2.81
Si1 0.0000 0.0000 0.0000 (multiplicity 3)  6 In 2.81
Au1 0.0000 0.0000 0.5000 (multiplicity 3)  6 In 2.81


Entry 4:
## LiMnSiO4 (GGA-PBEsol)

Data for a relaxed structure of LiMnSiO4.

## Properties
Polymorph energy (0 for the lowest one) = 30.3 kJ/mol of formula units
Crystal system = orthorhombic

abc: 5.6120 5.8529 7.7129
angles: 90.00 90.00 90.00
Closest atoms and distances in Å follow each position.
Space group Imma (No. 74)
Unique sites:
Li1 0.2500 0.2500 0.2500 (multiplicity 4)  6 O 1.98-2.09
Mn1 0.0000 0.0000 0.0000 (multiplicity 4)  6 O 1.90-2.07
Si1 0.0000 0.2500 0.6342 (multiplicity 4)  4 O 1.66-1.67
O1 0.0000 0.0153 0.7546 (multiplicity 8)  1 Si 1.66
O2 0.2404 0.2500 0.5066 (multiplicity 8)  1 Si 1.67


Copy entry 2 word for word.
## SrNi4Sn2 (GGA-PBEsol)

Data for a relaxed structure of SrNi4Sn2.

## Properties
E = -149.56 eV for the cell shown
Crystal system = tetragonal

abc: 7.7720 7.7720 7.6892
angles: 90.00 90.00 90.00
Closest atoms and distances in Å follow each position.
Space group I4/mcm (No. 140)
Unique sites:
Sr1 0.0000 0.0000 0.2500 (multiplicity 4)  8 Ni 3.10
Ni1 0.1358 0.3642 0.1622 (multiplicity 16)  3 Ni 2.49-2.51, 4 Sn 2.57-2.62
Sn1 0.1602 0.3398 0.5000 (multiplicity 8)  8 Ni 2.57-2.62